No. 1
Density functional theory data (PBE-GGA) for a relaxed Tl2CdPdF6 crystal.

a b c (Å): 6.384 6.384 11.235
angles (deg): 73.49 73.49 60.00
Positions (direct):
Tl 0.879 0.879 0.363
Tl 0.121 0.121 0.637
Tl 0.731 0.731 0.808
Tl 0.269 0.269 0.192
Cd 0.595 0.595 0.215
Cd 0.405 0.405 0.785
Pd 0.000 0.000 0.000
Pd 0.500 0.500 0.500
F 0.854 0.390 0.366
F 0.390 0.854 0.366
F 0.390 0.390 0.366
F 0.146 0.610 0.634
F 0.610 0.146 0.634
F 0.610 0.610 0.634
F 0.740 0.196 0.868
F 0.196 0.740 0.868
F 0.196 0.196 0.868
F 0.260 0.804 0.132
F 0.804 0.260 0.132
F 0.804 0.804 0.132

Computed properties:
Magnetization   2.00 μB per formula unit
Mass density   6.57 g cm⁻³
Total energy   -3.891 eV/atom
Calculated volume   18.7 Å³ per atom



No. 2
Density functional theory data (PBE-GGA) for a relaxed RuC crystal.

a b c (Å): 5.573 5.573 3.263
angles (deg): 90.00 90.00 90.00
Positions (direct):
Ru 0.822 0.822 0.000
Ru 0.322 0.678 0.500
Ru 0.678 0.322 0.500
Ru 0.178 0.178 0.000
C 0.819 0.181 0.000
C 0.319 0.319 0.500
C 0.681 0.681 0.500
C 0.181 0.819 0.000

Computed properties:
Magnetization   0.00 μB per formula unit
Mass density   7.41 g cm⁻³
Energy above the lowest structure with this stoichiometry   0.64 eV per formula unit
Energy relative to the elements   15.81 kcal/mol of atoms
DOS(E_F)   5.863 states/eV per cell
Total energy   -8.564 eV/atom
Calculated volume   12.7 Å³ per atom



No. 3
Density functional theory data (PBE-GGA) for a relaxed CoP2Pt crystal.

a b c (Å): 3.900 3.900 5.046
angles (deg): 77.82 77.82 44.99
Positions (direct):
Co 0.250 0.250 0.250
P 0.992 0.992 0.036
P 0.508 0.508 0.464
Pt 0.750 0.750 0.750

Computed properties:
Magnetization   0.50 μB per formula unit
Mass density   9.93 g cm⁻³
Energy above the lowest structure with this stoichiometry   1.21 eV per formula unit
Energy relative to the elements   -2.21 kcal/mol of atoms
DOS(E_F)   3.486 states/eV per cell
Total energy   -6.087 eV/atom
Calculated volume   13.2 Å³ per atom



No. 4
Density functional theory data (PBE-GGA) for a relaxed RbInGa2Co crystal.

a b c (Å): 4.785 4.785 5.064
angles (deg): 90.00 90.00 90.00
Positions (direct):
Co 0.000 0.000 0.000
Ga 0.000 0.500 0.000
Ga 0.500 0.000 0.000
Rb 0.500 0.500 0.500
In 0.000 0.000 0.500

Computed properties:
Magnetization   0.00 μB per formula unit
Mass density   5.71 g cm⁻³
Energy relative to the elements   -1.09 kcal/mol of atoms
DOS(E_F)   3.451 states/eV per cell
Total energy   -3.420 eV/atom
Calculated volume   23.2 Å³ per atom



Please write out number 2 again, unchanged.
Density functional theory data (PBE-GGA) for a relaxed RuC crystal.

a b c (Å): 5.573 5.573 3.263
angles (deg): 90.00 90.00 90.00
Positions (direct):
Ru 0.822 0.822 0.000
Ru 0.322 0.678 0.500
Ru 0.678 0.322 0.500
Ru 0.178 0.178 0.000
C 0.819 0.181 0.000
C 0.319 0.319 0.500
C 0.681 0.681 0.500
C 0.181 0.819 0.000

Computed properties:
Magnetization   0.00 μB per formula unit
Mass density   7.41 g cm⁻³
Energy above the lowest structure with this stoichiometry   0.64 eV per formula unit
Energy relative to the elements   15.81 kcal/mol of atoms
DOS(E_F)   5.863 states/eV per cell
Total energy   -8.564 eV/atom
Calculated volume   12.7 Å³ per atom



> Which value of total energy does entry 4 give?

-3.420 eV/atom



> Look up the total energy of the third one.

-6.087 eV/atom